No. 1
VASP calculation (PBE) on crystalline ErPaZn2 at its relaxed geometry.

* E: -4.13 eV/atom
* calculated formation energy: 0.025 eV per atom
* offset from the most stable computed form: 0.58 eV per formula unit
* calculated volume: 271.1 Å³/cell

a = 3.2982 Å, b = 3.2982 Å, c = 28.7811 Å
α = 90.00°, β = 90.00°, γ = 120.00°
Last column: nearest neighbours and their distance in Å.
Space group R-3m (No. 166, hexagonal axes)
One atom of each set of equivalent atoms:
1 Er 0.0000 0.0000 0.0000 (multiplicity 3)  6 Zn 3.01, 6 Er 3.30
2 Pa 0.0000 0.0000 0.5000 (multiplicity 3)  6 Zn 3.11, 6 Pa 3.30
3 Zn 0.0000 0.0000 0.2521 (multiplicity 6)  3 Er 3.01, 3 Pa 3.11, 6 Zn 3.30


No. 2
VASP calculation (PBE) on crystalline LiZr3Ir at its relaxed geometry.

* E: -7.04 eV/atom
* calculated formation energy: 0.245 eV per atom
* offset from the most stable computed form: 0.00 eV per formula unit
* calculated volume: 134.1 Å³/cell

a = 5.1187 Å, b = 5.1187 Å, c = 5.1187 Å
α = 90.00°, β = 90.00°, γ = 90.00°
Last column: nearest neighbours and their distance in Å.
Space group Pm-3m (No. 221)
One atom of each set of equivalent atoms:
1 Li 0.0000 0.0000 0.0000 (multiplicity 1)  12 Zr 3.62
2 Zr 0.0000 0.5000 0.5000 (multiplicity 3)  2 Ir 2.56
3 Ir 0.5000 0.5000 0.5000 (multiplicity 1)  6 Zr 2.56


No. 3
VASP calculation (PBE) on crystalline In2HgSb2 at its relaxed geometry.

* E: -2.70 eV/atom
* raw formation energy: 0.102 eV per atom
* offset from the most stable computed form: 0.21 eV per formula unit
* calculated volume: 316.3 Å³/cell

a = 5.1359 Å, b = 5.1359 Å, c = 11.9924 Å
α = 90.00°, β = 90.00°, γ = 90.00°
Last column: nearest neighbours and their distance in Å.
Space group I4/mmm (No. 139)
One atom of each set of equivalent atoms:
1 In 0.0000 0.0000 0.1175 (multiplicity 4)  1 In 2.82, 4 Sb 3.02
2 Hg 0.0000 0.0000 0.5000 (multiplicity 2)  8 In 3.90, 8 Sb 3.95
3 Sb 0.0000 0.5000 0.2500 (multiplicity 4)  4 In 3.02


No. 4
VASP calculation (PBE) on crystalline SmLuPb at its relaxed geometry.

* E: -4.60 eV/atom
* calculated formation energy: -0.286 eV per atom
* offset from the most stable computed form: 0.00 eV per formula unit
* calculated volume: 179.6 Å³/cell

a = 3.6058 Å, b = 3.6058 Å, c = 13.8114 Å
α = 90.00°, β = 90.00°, γ = 90.00°
Last column: nearest neighbours and their distance in Å.
Space group I4mm (No. 107)
One atom of each set of equivalent atoms:
1 Sm 0.0000 0.0000 0.0000 (multiplicity 2)  4 Pb 3.42, 4 Lu 3.56, 4 Sm 3.61
2 Lu 0.0000 0.0000 0.3205 (multiplicity 2)  4 Pb 3.33, 4 Sm 3.56, 4 Lu 3.61
3 Pb 0.0000 0.0000 0.6654 (multiplicity 2)  4 Lu 3.33, 4 Sm 3.42, 4 Pb 3.61


No. 5
VASP calculation (PBE) on crystalline Sc3BiC at its relaxed geometry.

* E: -7.07 eV/atom
* calculated formation energy: -0.650 eV per atom
* calculated volume: 394.7 Å³/cell

a = 6.4206 Å, b = 13.6147 Å, c = 4.5148 Å
α = 90.00°, β = 90.00°, γ = 90.00°
Last column: nearest neighbours and their distance in Å.
Space group Cmmm (No. 65)
One atom of each set of equivalent atoms:
1 Sc 0.0000 0.1285 0.0000 (multiplicity 4)  2 C 2.26
2 Sc 0.2307 0.0000 0.5000 (multiplicity 4)  2 C 2.30
3 Sc 0.2500 0.2500 0.5000 (multiplicity 4)  2 C 2.30
4 Bi 0.0000 0.3666 0.0000 (multiplicity 4)  11 Sc 3.19-3.37
5 C 0.0000 0.1289 0.5000 (multiplicity 4)  6 Sc 2.26-2.30


No. 6
VASP calculation (PBE) on crystalline YZnGa2 at its relaxed geometry.

* E: -3.78 eV/atom
* calculated formation energy: -0.330 eV per atom
* calculated volume: 164.0 Å³/cell

a = 5.4751 Å, b = 9.0015 Å, c = 3.3284 Å
α = 90.00°, β = 90.00°, γ = 90.00°
Last column: nearest neighbours and their distance in Å.
Space group Cmmm (No. 65)
One atom of each set of equivalent atoms:
1 Y 0.0000 0.0000 0.0000 (multiplicity 2)  8 Ga 3.12, 4 Zn 3.20, 2 Y 3.33
2 Zn 0.0000 0.5000 0.5000 (multiplicity 2)  4 Ga 2.63
3 Ga 0.2500 0.2500 0.5000 (multiplicity 4)  2 Zn 2.63, 2 Ga 2.74


No. 7
VASP calculation (PBE) on crystalline SmOsBr at its relaxed geometry.

* E: -6.15 eV/atom
* raw formation energy: -0.278 eV per atom
* offset from the most stable computed form: 2.06 eV per formula unit
* calculated volume: 315.8 Å³/cell

a = 12.2121 Å, b = 3.7620 Å, c = 6.9277 Å
α = 90.00°, β = 97.20°, γ = 90.00°
Last column: nearest neighbours and their distance in Å.
Space group C2/m (No. 12)
One atom of each set of equivalent atoms:
1 Sm 0.1462 0.0000 0.1799 (multiplicity 4)  2 Os 2.83, 1 Br 3.02
2 Os 0.0655 0.5000 0.8920 (multiplicity 4)  1 Os 2.32, 1 Br 2.60
3 Br 0.1376 0.5000 0.5550 (multiplicity 4)  1 Os 2.60


No. 8
VASP calculation (PBE) on crystalline Be3AsN at its relaxed geometry.

* E: -5.03 eV/atom
* raw formation energy: -0.202 eV per atom
* offset from the most stable computed form: 0.00 eV per formula unit
* calculated volume: 47.3 Å³/cell

a = 3.6171 Å, b = 3.6171 Å, c = 3.6171 Å
α = 90.00°, β = 90.00°, γ = 90.00°
Last column: nearest neighbours and their distance in Å.
Space group Pm-3m (No. 221)
One atom of each set of equivalent atoms:
1 Be 0.0000 0.0000 0.5000 (multiplicity 3)  2 N 1.81
2 As 0.5000 0.5000 0.5000 (multiplicity 1)  12 Be 2.56
3 N 0.0000 0.0000 0.0000 (multiplicity 1)  6 Be 1.81


No. 9
VASP calculation (PBE) on crystalline Ac2NdNbN4 at its relaxed geometry.

* E: -7.94 eV/atom
* raw formation energy: -0.898 eV per atom
* calculated volume: 595.9 Å³/cell

a = 3.5746 Å, b = 12.4833 Å, c = 13.3529 Å
α = 90.00°, β = 90.00°, γ = 90.00°
Last column: nearest neighbours and their distance in Å.
Space group Cmcm (No. 63)
One atom of each set of equivalent atoms:
1 Ac 0.0000 0.1340 0.0363 (multiplicity 8)  3 N 2.50-2.62
2 Nd 0.0000 0.4042 0.2500 (multiplicity 4)  6 N 2.79
3 Nb 0.0000 0.3271 0.7500 (multiplicity 4)  4 N 1.95-2.16
4 N 0.0000 0.0755 0.2500 (multiplicity 4)  2 Nb 2.16
5 N 0.0000 0.2221 0.6419 (multiplicity 8)  1 Nb 1.95
6 N 0.0000 0.5000 0.0000 (multiplicity 4)  4 Ac 2.50


No. 10
VASP calculation (PBE) on crystalline Pr2Y3Tl3 at its relaxed geometry.

* E: -4.77 eV/atom
* calculated formation energy: -0.267 eV per atom
* calculated volume: 469.6 Å³/cell

a = 4.5203 Å, b = 4.9802 Å, c = 20.8621 Å
α = 90.00°, β = 90.00°, γ = 90.00°
Last column: nearest neighbours and their distance in Å.
Space group Immm (No. 71)
One atom of each set of equivalent atoms:
1 Pr 0.0000 0.0000 0.2391 (multiplicity 4)  2 Tl 3.32, 4 Pr 3.39, 2 Y 3.58
2 Y 0.0000 0.0000 0.0000 (multiplicity 2)  8 Tl 3.36-3.42, 4 Y 3.47
3 Y 0.0000 0.5000 0.1161 (multiplicity 4)  6 Tl 3.31-3.37, 2 Y 3.47, 2 Pr 3.58
4 Tl 0.0000 0.0000 0.5000 (multiplicity 2)  8 Y 3.31-3.36, 4 Tl 3.57
5 Tl 0.0000 0.5000 0.3772 (multiplicity 4)  2 Pr 3.32, 6 Y 3.37-3.42, 2 Tl 3.57


No. 11
VASP calculation (PBE) on crystalline Sm4GaPd3 at its relaxed geometry.

* E: -5.46 eV/atom
* calculated formation energy: -0.772 eV per atom
* calculated volume: 193.5 Å³/cell

a = 3.8713 Å, b = 4.5327 Å, c = 11.0298 Å
α = 90.00°, β = 90.00°, γ = 90.00°
Last column: nearest neighbours and their distance in Å.
Space group Pmm2 (No. 25)
One atom of each set of equivalent atoms:
1 Sm 0.0000 0.0000 0.0000 (multiplicity 1)  6 Pd 3.04-3.10, 1 Ga 3.18
2 Sm 0.0000 0.5000 0.2704 (multiplicity 1)  7 Pd 3.03-3.14
3 Sm 0.5000 0.0000 0.4903 (multiplicity 1)  5 Pd 2.98-3.07, 2 Ga 3.12
4 Sm 0.5000 0.5000 0.7758 (multiplicity 1)  3 Pd 3.05-3.11, 4 Ga 3.06
5 Ga 0.0000 0.0000 0.7116 (multiplicity 1)  2 Pd 2.85, 7 Sm 3.06-3.18
6 Pd 0.0000 0.5000 0.5555 (multiplicity 1)  2 Ga 2.85, 7 Sm 3.07-3.14
7 Pd 0.5000 0.0000 0.2201 (multiplicity 1)  2 Pd 2.93, 7 Sm 2.98-3.10
8 Pd 0.5000 0.5000 0.0522 (multiplicity 1)  2 Pd 2.93, 7 Sm 3.04-3.09


No. 12
VASP calculation (PBE) on crystalline LaNbZn4 at its relaxed geometry.

* E: -3.44 eV/atom
* calculated formation energy: -0.092 eV per atom
* calculated volume: 440.9 Å³/cell

a = 7.6111 Å, b = 7.6111 Å, c = 7.6111 Å
α = 90.00°, β = 90.00°, γ = 90.00°
Last column: nearest neighbours and their distance in Å.
Space group F-43m (No. 216)
One atom of each set of equivalent atoms:
1 La 0.0000 0.0000 0.0000 (multiplicity 4)  12 Zn 3.16, 4 Nb 3.30
2 Nb 0.2500 0.2500 0.7500 (multiplicity 4)  12 Zn 3.15, 4 La 3.30
3 Zn 0.1231 0.1231 0.3769 (multiplicity 16)  6 Zn 2.65-2.73